Entry from Alexandria via LeMat-Bulk: an optimized crystal structure of TlCrIn3 (PBE).

As for the electronic total energy: -3.699 eV/atom. The offset from the most stable computed form is 0.00 eV/f.u. The formation energy comes out at 0.34 eV per atom.

It has space group Pm-3m (No. 221), with a = 5.224 Å, b = 5.224 Å, c = 5.224 Å, α = 90.00°, β = 90.00° and γ = 90.00°. The distinct sites, in fractional coordinates, are Tl at (0.000, 0.000, 0.000), Cr at (0.500, 0.500, 0.500) and In at (0.000, 0.500, 0.500).